Entry from Alexandria via LeMat-Bulk: an optimized crystal structure of TmZn2Pd8 (PBE-GGA).

abc: 7.3153 7.3153 6.3370
angles: 106.89 106.89 32.56
Last column: nearest neighbours and their distance in Å.
Sites, in units of the cell vectors:
Tm 0.0000 0.0000 0.0000  12 Pd 2.75-2.93
Zn 0.2760 0.2760 0.3492  10 Pd 2.61-2.85
Zn 0.7240 0.7240 0.6508  10 Pd 2.61-2.85
Pd 0.1006 0.1006 0.4712  3 Zn 2.70-2.80, 8 Pd 2.75-2.96, 1 Tm 2.89
Pd 0.1829 0.1829 0.9241  3 Zn 2.61-2.85, 8 Pd 2.75-2.88, 1 Tm 2.75
Pd 0.3532 0.3532 0.7912  3 Zn 2.68-2.70, 7 Pd 2.77-2.97, 2 Tm 2.93
Pd 0.4554 0.4554 0.2758  1 Zn 2.70, 9 Pd 2.74-2.97, 2 Tm 2.88
Pd 0.5446 0.5446 0.7242  1 Zn 2.70, 9 Pd 2.74-2.97, 2 Tm 2.88
Pd 0.6468 0.6468 0.2088  3 Zn 2.68-2.70, 7 Pd 2.77-2.97, 2 Tm 2.93
Pd 0.8171 0.8171 0.0759  3 Zn 2.61-2.85, 8 Pd 2.75-2.88, 1 Tm 2.75
Pd 0.8994 0.8994 0.5288  3 Zn 2.70-2.80, 8 Pd 2.75-2.96, 1 Tm 2.89

Symmetry: C2/m, No. 12
Magnetic moment, μB/cell: 0.0
ΔE_f, eV/atom: -0.53
Theoretical density, Mg/m³: 10.99
Density of states at the Fermi level, states/eV/atom: 0.336
Volume, Å³ per atom: 15.81